(1)
Material: CdFe2Rh
Method: DFT, PBE-GGA
State: relaxed

Cell and atoms, written as POSCAR:
```
CdFe2Rh
1.0
-4.213 -0.379 2.031
-0.017 -4.007 2.442
3.069 3.550 -0.004
Cd Fe Rh
1 2 1
Direct
0.750 0.250 0.500
0.000 0.000 0.000
0.250 0.750 0.500
0.500 0.500 0.000
```

---

(2)
Material: CdFe2Rh
Method: DFT, PBE-GGA
State: relaxed

Cell and atoms, written as POSCAR:
```
CdFe2Rh
1.0
-4.508 1.139 2.173
-1.039 -2.221 4.509
3.267 3.048 -2.525
Cd Fe Rh
1 2 1
Direct
0.250 0.750 0.500
0.988 0.988 0.000
0.512 0.512 0.000
0.750 0.250 0.500
```

---

(3)
Material: CdFeRh2
Method: DFT, PBE-GGA
State: relaxed

Cell and atoms, written as POSCAR:
```
CdFeRh2
1.0
4.330 0.725 0.000
-0.723 4.330 0.000
0.000 0.000 3.174
Cd Fe Rh
1 1 2
Direct
0.500 0.000 0.500
0.000 0.500 0.500
0.000 0.000 0.000
0.500 0.500 0.000
```

---

(4)
Material: Cd2FeRh
Method: DFT, PBE-GGA
State: relaxed

Cell and atoms, written as POSCAR:
```
Cd2FeRh
1.0
4.586 0.000 0.000
0.000 4.586 0.000
0.000 0.000 3.156
Cd Fe Rh
2 1 1
Direct
0.000 0.000 0.000
0.500 0.500 0.000
0.500 0.000 0.500
0.000 0.500 0.500
```

---

(5)
Material: CdFe2Rh2
Method: DFT, PBE-GGA
State: relaxed

Output
Polymorph energy (0 for the lowest one) (meV/atom): 16

Cell and atoms, written as POSCAR:
```
CdFe2Rh2
1.0
-5.856 0.039 4.325
-3.558 -4.182 -4.779
0.957 -2.319 1.317
Rh Fe Cd
4 4 2
Direct
0.172 0.672 0.500
0.672 0.828 0.500
0.828 0.328 0.500
0.328 0.172 0.500
0.380 0.880 0.000
0.880 0.620 0.000
0.620 0.120 0.000
0.120 0.380 0.000
0.000 0.000 0.000
0.500 0.500 0.000
```

---

(6)
Material: CdFeRh2
Method: DFT, PBE-GGA
State: relaxed

Cell and atoms, written as POSCAR:
```
CdFeRh2
1.0
-1.127 2.251 -1.567
-2.901 -2.951 -2.151
-3.030 0.679 3.155
Cd Fe Rh
1 1 2
Direct
0.500 0.000 0.500
0.000 0.500 0.500
0.000 0.000 0.000
0.500 0.500 0.000
```

---

The calculation returns the following ΔE_f values, one per record and in order: 0.18 0.19 0.03 0.20 0.08 0.19 eV/atom.
The calculation returns the following DOS(E_F) values, one per record and in order: 4.33 3.60 2.89 4.71 9.72 4.21 states/eV per cell.